Record 1
! La4SnPt2 (PBE-GGA, relaxed); values from VASP
&SYSTEM
  ibrav = 0, nat = 7, ntyp = 3
/
ATOMIC_SPECIES
Sn 118.71 Sn.upf
Pt 195.08 Pt.upf
La 138.91 La.upf
ATOMIC_POSITIONS crystal
Sn 0.000 0.000 0.000
Pt 0.406 0.406 0.187
Pt 0.594 0.594 0.813
La 0.000 0.500 0.000
La 0.500 0.000 0.000
La 0.221 0.221 0.558
La 0.779 0.779 0.442
CELL_PARAMETERS angstrom
6.050 0.000 0.000
0.000 6.050 0.000
3.025 3.025 7.140
! Final energy ... -5.45 eV per atom
! Crystal system ... tetragonal
! Energy relative to the elements ... -0.336 eV/atom

Record 2
! Zn8CuNi5 (PBE-GGA, relaxed); values from VASP
&SYSTEM
  ibrav = 0, nat = 14, ntyp = 3
/
ATOMIC_SPECIES
Zn 65.41 Zn.upf
Cu 63.55 Cu.upf
Ni 58.69 Ni.upf
ATOMIC_POSITIONS crystal
Zn 0.137 0.729 0.066
Zn 0.758 0.264 0.357
Zn 0.337 0.271 0.407
Zn 0.593 0.929 0.863
Zn 0.093 0.736 0.494
Zn 0.506 0.599 0.242
Zn 0.934 0.071 0.663
Zn 0.643 0.401 0.907
Cu 0.250 0.500 0.750
Ni 0.791 0.668 0.701
Ni 0.033 0.332 0.123
Ni 0.299 0.090 0.967
Ni 0.500 0.000 0.500
Ni 0.877 0.910 0.209
CELL_PARAMETERS angstrom
-5.675 2.122 -1.484
0.368 -6.142 -1.023
0.958 1.268 6.032
! Final energy ... -3.13 eV per atom
! Crystal system ... tetragonal
! Energy relative to the elements ... -0.049 eV/atom

Record 3
! Dy3BiPb2 (PBE-GGA, relaxed); values from VASP
&SYSTEM
  ibrav = 0, nat = 12, ntyp = 3
/
ATOMIC_SPECIES
Dy 162.50 Dy.upf
Bi 208.98 Bi.upf
Pb 207.20 Pb.upf
ATOMIC_POSITIONS crystal
Dy 0.163 0.582 0.328
Dy 0.836 0.918 0.672
Dy 0.501 0.250 0.000
Dy 0.164 0.082 0.328
Dy 0.499 0.750 0.000
Dy 0.837 0.418 0.672
Bi 0.999 0.750 0.000
Bi 0.001 0.250 0.000
Pb 0.667 0.584 0.336
Pb 0.333 0.416 0.664
Pb 0.668 0.084 0.336
Pb 0.332 0.916 0.664
CELL_PARAMETERS angstrom
-3.607 0.993 -5.083
-3.644 -7.381 1.145
-2.247 4.431 6.378
! Final energy ... -4.69 eV per atom
! Crystal system ... monoclinic
! Energy relative to the elements ... -0.503 eV/atom

Record 4
! Y2ZrIr (PBE-GGA, relaxed); values from VASP
&SYSTEM
  ibrav = 0, nat = 4, ntyp = 3
/
ATOMIC_SPECIES
Y 88.91 Y.upf
Ir 192.22 Ir.upf
Zr 91.22 Zr.upf
ATOMIC_POSITIONS crystal
Y 0.500 0.500 0.000
Y 0.000 0.000 0.000
Ir 0.750 0.250 0.500
Zr 0.250 0.750 0.500
CELL_PARAMETERS angstrom
5.852 0.021 0.000
2.752 5.165 0.000
-4.302 -2.593 3.003
! Final energy ... -7.66 eV per atom
! Crystal system ... tetragonal
! Energy relative to the elements ... -0.071 eV/atom
! Energy above the lowest structure with this stoichiometry ... 364.4 meV per atom

Magnetic moment, respectively: 0.0, 0.0, 0.0, 0.0 Bohr magnetons per cell.